No. 1
The following is a PBE calculation of an optimized crystal structure of Rb2SmSb2O6, from Alexandria via LeMat-Bulk.

```
11
Lattice="-2.972 -2.470 -5.110 5.784 1.997 -0.313 -0.430 -6.747 3.512" Properties=species:S:1:pos:R:3 pbc="T T T"
Rb 2.171 -5.180 1.241
O 0.331 -4.659 -1.957
O 3.137 -1.700 -3.083
O -2.295 -6.800 -1.474
Sb 0.502 -1.459 0.413
Rb 0.210 -2.040 -3.152
O -0.756 -5.521 1.173
Sb 1.879 -5.761 -2.324
O 4.676 -0.420 -0.436
Sm -1.701 -4.609 -0.799
O 2.049 -2.561 0.046
```

Output
The calculation puts the energy relative to the elements, uncorrected at -1.8231 eV/atom.

No. 2
The following is a PBE calculation of an optimized crystal structure of SnC2O4, from Alexandria via LeMat-Bulk.

```
14
Lattice="6.043 -0.153 0.001 3.114 5.181 0.001 4.249 2.333 7.045" Properties=species:S:1:pos:R:3 pbc="T T T"
O 10.290 6.073 5.937
C 4.402 3.891 3.776
O 8.397 2.457 3.761
Sn 6.540 6.496 5.284
O 3.117 1.288 1.109
C 9.004 3.470 3.270
O 5.009 4.904 3.286
O 8.522 4.256 2.415
O 4.456 4.600 0.238
Sn 6.867 0.865 1.762
C 9.885 6.902 6.792
C 3.522 0.460 0.254
O 8.951 2.761 6.808
O 4.884 3.105 4.631
```

Output
The calculation puts the energy relative to the elements, uncorrected at -1.1811 eV/atom.

No. 3
The following is a PBE calculation of an optimized crystal structure of NdBe2Si2Tc, from Alexandria via LeMat-Bulk.

```
6
Lattice="-1.804 -2.237 2.640 3.745 0.975 0.501 -1.927 5.624 3.450" Properties=species:S:1:pos:R:3 pbc="T T T"
Nd 0.000 0.000 0.000
Be 1.241 1.813 2.385
Si 0.540 3.862 3.642
Si -0.525 0.501 2.949
Tc -0.963 2.812 1.725
Be -1.227 2.549 4.206
```

Output
The calculation puts the energy relative to the elements, uncorrected at -0.3899 eV/atom.

No. 4
The following is a PBE calculation of an optimized crystal structure of V3FeAs, from Alexandria via LeMat-Bulk.

```
5
Lattice="4.286 0.000 0.000 0.000 4.286 0.000 0.000 0.000 4.286" Properties=species:S:1:pos:R:3 pbc="T T T"
V 2.143 0.000 0.000
V 0.000 2.143 0.000
As 2.143 2.143 2.143
Fe 0.000 0.000 0.000
V 0.000 0.000 2.143
```

Output
The value obtained for the formation energy is 0.59 eV/atom.

No. 5
The following is a PBE calculation of an optimized crystal structure of BeSnRu2, from Alexandria via LeMat-Bulk.

```
4
Lattice="-1.072 -2.773 -0.690 2.176 -1.270 1.723 -3.655 0.222 4.781" Properties=species:S:1:pos:R:3 pbc="T T T"
Ru -0.799 0.049 1.046
Ru -2.856 0.174 3.736
Sn -1.275 -1.910 2.907
Be 0.552 -2.022 0.516
```

Output
The value obtained for the formation energy is -0.03 eV/atom.

No. 6
The following is a PBE calculation of an optimized crystal structure of Nb2MoP, from Alexandria via LeMat-Bulk.

```
4
Lattice="-0.572 2.412 3.730 -2.839 -1.409 3.165 1.577 -1.513 3.910" Properties=species:S:1:pos:R:3 pbc="T T T"
Mo -0.917 -0.255 5.403
Nb -0.459 -0.128 2.701
P 0.000 0.000 0.000
Nb -1.376 -0.383 8.104
```

Output
The value obtained for the formation energy is -0.06 eV/atom.

| no. | E_tot (eV/atom) |
| --- | --- |
| 1 | -5.88 |
| 2 | -7.22 |
| 3 | -5.96 |
| 4 | -7.50 |
| 5 | -6.60 |
| 6 | -9.15 |